Run a
# InP2Pb

A geometry-optimized InP2Pb structure (PBE, Alexandria via LeMat-Bulk).

Computed properties:
Crystal system = tetragonal
Density = 5373 kg/m³
Magnetization = 0.00 Bohr magnetons per cell

a b c (Å): 7.584 7.584 7.584
angles (deg): 131.83 131.83 70.50
Atoms (fractional coordinates):
In 0.000 0.000 0.000
In 0.750 0.250 0.500
P 0.101 0.625 0.976
P 0.375 0.351 0.476
P 0.649 0.125 0.024
P 0.875 0.899 0.524
Pb 0.250 0.750 0.500
Pb 0.500 0.500 0.000

***

Run b
# InP2Pb

A geometry-optimized InP2Pb structure (PBE, Alexandria via LeMat-Bulk).

Computed properties:
Crystal system = monoclinic
Density = 6753 kg/m³
Magnetization = 0.00 Bohr magnetons per cell

a b c (Å): 4.428 4.761 4.552
angles (deg): 90.00 100.35 90.00
Atoms (fractional coordinates):
In 0.000 0.000 0.000
P 0.264 0.500 0.745
P 0.404 0.000 0.605
Pb 0.679 0.500 0.334

***

run a is the most stable structure; the next one sits 12.7 kJ/mol of atoms above it.

***

Run a
# InP2Pb

A geometry-optimized InP2Pb structure (PBE, Alexandria via LeMat-Bulk).

Computed properties:
Crystal system = monoclinic
Density = 7017 kg/m³
Magnetization = 0.00 Bohr magnetons per cell

a b c (Å): 3.996 3.996 6.956
angles (deg): 106.67 106.67 60.10
Atoms (fractional coordinates):
In 0.000 0.000 0.000
P 0.256 0.256 0.770
P 0.744 0.744 0.230
Pb 0.500 0.500 0.500

***

Run b
# InP2Pb

A geometry-optimized InP2Pb structure (PBE, Alexandria via LeMat-Bulk).

Computed properties:
Crystal system = orthorhombic
Density = 6778 kg/m³
Magnetization = 0.00 Bohr magnetons per cell

a b c (Å): 5.299 5.299 5.299
angles (deg): 134.77 111.82 85.64
Atoms (fractional coordinates):
In 0.000 0.000 0.000
P 0.217 0.717 0.500
P 0.783 0.283 0.500
Pb 0.500 0.500 0.000

***

run a is the most stable structure; the next one sits 27.1 kJ/mol of atoms above it.

***

Run a
# In3PPb

A geometry-optimized In3PPb structure (PBE, Alexandria via LeMat-Bulk).

Computed properties:
Crystal system = cubic
Density = 5270 kg/m³
Magnetization = 0.00 Bohr magnetons per cell

a b c (Å): 5.683 5.683 5.683
angles (deg): 90.00 90.00 90.00
Atoms (fractional coordinates):
In 0.000 0.000 0.500
In 0.000 0.500 0.000
In 0.500 0.000 0.000
P 0.500 0.500 0.500
Pb 0.000 0.000 0.000

***

Run b
# In3PPb

A geometry-optimized In3PPb structure (PBE, Alexandria via LeMat-Bulk).

Computed properties:
Crystal system = cubic
Density = 6686 kg/m³
Magnetization = 0.00 Bohr magnetons per cell

a b c (Å): 5.250 5.250 5.250
angles (deg): 90.00 90.00 90.00
Atoms (fractional coordinates):
In 0.000 0.000 0.500
In 0.000 0.500 0.000
In 0.500 0.000 0.000
P 0.000 0.000 0.000
Pb 0.500 0.500 0.500

***

run b is the most stable structure; the next one sits 60.9 kJ/mol of atoms above it.

***

Run a
# InPPb

A geometry-optimized InPPb structure (PBE, Alexandria via LeMat-Bulk).

Computed properties:
Crystal system = trigonal
Density = 7379 kg/m³
Magnetization = 0.00 Bohr magnetons per cell

a b c (Å): 4.058 4.058 5.570
angles (deg): 90.00 90.00 120.00
Atoms (fractional coordinates):
In 0.000 0.000 0.000
P 0.333 0.667 0.250
Pb 0.667 0.333 0.561

***

Run b
# InPPb

A geometry-optimized InPPb structure (PBE, Alexandria via LeMat-Bulk).

Computed properties:
Crystal system = cubic
Density = 7145 kg/m³
Magnetization = 0.00 Bohr magnetons per cell

a b c (Å): 6.897 6.897 6.897
angles (deg): 90.00 90.00 90.00
Atoms (fractional coordinates):
In 0.056 0.056 0.056
In 0.444 0.944 0.556
In 0.556 0.444 0.944
In 0.944 0.556 0.444
P 0.091 0.909 0.409
P 0.409 0.091 0.909
P 0.591 0.591 0.591
P 0.909 0.409 0.091
Pb 0.139 0.639 0.861
Pb 0.361 0.361 0.361
Pb 0.639 0.861 0.139
Pb 0.861 0.139 0.639

***

run a is the most stable structure; the next one sits 7.5 kJ/mol of atoms above it.

***

Run a
# In3PPd

A geometry-optimized In3PPd structure (PBE, Alexandria via LeMat-Bulk).

Computed properties:
Crystal system = cubic
Density = 5950 kg/m³
Magnetization = 0.00 Bohr magnetons per cell

a b c (Å): 5.123 5.123 5.123
angles (deg): 90.00 90.00 90.00
Atoms (fractional coordinates):
In 0.000 0.000 0.500
In 0.000 0.500 0.000
In 0.500 0.000 0.000
P 0.500 0.500 0.500
Pd 0.000 0.000 0.000

***

Run b
# In3PPd

A geometry-optimized In3PPd structure (PBE, Alexandria via LeMat-Bulk).

Computed properties:
Crystal system = cubic
Density = 5926 kg/m³
Magnetization = 0.00 Bohr magnetons per cell

a b c (Å): 5.130 5.130 5.130
angles (deg): 90.00 90.00 90.00
Atoms (fractional coordinates):
In 0.000 0.000 0.500
In 0.000 0.500 0.000
In 0.500 0.000 0.000
P 0.000 0.000 0.000
Pd 0.500 0.500 0.500

***

run a is the most stable structure; the next one sits 22.9 kJ/mol of atoms above it.

***

Run a
# In2P2Pd

A geometry-optimized In2P2Pd structure (PBE, Alexandria via LeMat-Bulk).

Computed properties:
Crystal system = tetragonal
Density = 6499 kg/m³
Magnetization = 0.00 Bohr magnetons per cell

a b c (Å): 5.197 5.197 5.197
angles (deg): 118.26 118.26 93.04
Atoms (fractional coordinates):
In 0.250 0.750 0.500
In 0.750 0.250 0.500
P 0.158 0.158 0.000
P 0.842 0.842 0.000
Pd 0.500 0.500 0.000

***

Run b
# In2P2Pd

A geometry-optimized In2P2Pd structure (PBE, Alexandria via LeMat-Bulk).

Computed properties:
Crystal system = tetragonal
Density = 6541 kg/m³
Magnetization = 0.00 Bohr magnetons per cell

a b c (Å): 7.035 7.035 4.082
angles (deg): 90.00 90.00 90.00
Atoms (fractional coordinates):
In 0.146 0.354 0.000
In 0.354 0.854 0.000
In 0.646 0.146 0.000
In 0.854 0.646 0.000
P 0.187 0.687 0.500
P 0.313 0.187 0.500
P 0.687 0.813 0.500
P 0.813 0.313 0.500
Pd 0.000 0.000 0.500
Pd 0.500 0.500 0.500

***

run b is the most stable structure; the next one sits 2.3 kJ/mol of atoms above it.

***

Run a
# PmInP

A geometry-optimized PmInP structure (PBE, Alexandria via LeMat-Bulk).

Computed properties:
Crystal system = trigonal
Density = 6102 kg/m³
Magnetization = 0.00 Bohr magnetons per cell

a b c (Å): 4.200 4.200 5.180
angles (deg): 90.00 90.00 120.00
Atoms (fractional coordinates):
Pm 0.000 0.000 0.000
In 0.333 0.667 0.535
P 0.667 0.333 0.269

***

Run b
# PmInP

A geometry-optimized PmInP structure (PBE, Alexandria via LeMat-Bulk).

Computed properties:
Crystal system = trigonal
Density = 5692 kg/m³
Magnetization = 0.00 Bohr magnetons per cell

a b c (Å): 8.615 8.615 8.615
angles (deg): 33.10 33.10 33.10
Atoms (fractional coordinates):
Pm 0.103 0.103 0.103
Pm 0.897 0.897 0.897
In 0.325 0.325 0.325
In 0.675 0.675 0.675
P 0.217 0.217 0.217
P 0.783 0.783 0.783

***

run b is the most stable structure; the next one sits 22.7 kJ/mol of atoms above it.

***

Run a
# Pr4In2P

A geometry-optimized Pr4In2P structure (PBE, Alexandria via LeMat-Bulk).

Computed properties:
Crystal system = tetragonal
Density = 5711 kg/m³
Magnetization = 0.00 Bohr magnetons per cell

a b c (Å): 8.775 8.775 8.775
angles (deg): 143.31 143.31 52.85
Atoms (fractional coordinates):
Pr 0.000 0.500 0.500
Pr 0.178 0.178 0.000
Pr 0.500 0.000 0.500
Pr 0.822 0.822 0.000
In 0.381 0.381 0.000
In 0.619 0.619 0.000
P 0.000 0.000 0.000

***

Run b
# Pr4In2P

A geometry-optimized Pr4In2P structure (PBE, Alexandria via LeMat-Bulk).

Computed properties:
Crystal system = monoclinic
Density = 6290 kg/m³
Magnetization = 0.00 Bohr magnetons per cell

a b c (Å): 6.807 6.807 9.356
angles (deg): 120.50 120.50 36.42
Atoms (fractional coordinates):
Pr 0.090 0.090 0.353
Pr 0.334 0.334 0.933
Pr 0.666 0.666 0.067
Pr 0.910 0.910 0.647
In 0.374 0.374 0.340
In 0.626 0.626 0.660
P 0.000 0.000 0.000

***

run b is the most stable structure; the next one sits 14.4 kJ/mol of atoms above it.

***

Run a
# Pr2InP

A geometry-optimized Pr2InP structure (PBE, Alexandria via LeMat-Bulk).

Computed properties:
Crystal system = trigonal
Density = 5970 kg/m³
Magnetization = 0.00 Bohr magnetons per cell

a b c (Å): 8.439 8.439 8.439
angles (deg): 28.25 28.25 28.25
Atoms (fractional coordinates):
Pr 0.235 0.235 0.235
Pr 0.765 0.765 0.765
In 0.000 0.000 0.000
P 0.500 0.500 0.500

***

Run b
# Pr2InP

A geometry-optimized Pr2InP structure (PBE, Alexandria via LeMat-Bulk).

Computed properties:
Crystal system = trigonal
Density = 5898 kg/m³
Magnetization = 0.00 Bohr magnetons per cell

a b c (Å): 8.737 8.737 8.737
angles (deg): 26.90 26.90 26.90
Atoms (fractional coordinates):
Pr 0.000 0.000 0.000
Pr 0.200 0.200 0.200
In 0.766 0.766 0.766
P 0.599 0.599 0.599

***

run a is the most stable structure; the next one sits 4.8 kJ/mol of atoms above it.

***

Run a
# InPPt4

A geometry-optimized InPPt4 structure (PBE, Alexandria via LeMat-Bulk).

Computed properties:
Crystal system = monoclinic
Density = 14357 kg/m³
Magnetization = 0.00 Bohr magnetons per cell

a b c (Å): 3.923 3.923 6.961
angles (deg): 90.15 90.15 90.00
Atoms (fractional coordinates):
In 0.000 0.000 0.000
P 0.500 0.500 0.500
Pt 0.001 0.501 0.290
Pt 0.499 0.999 0.710
Pt 0.501 0.001 0.290
Pt 0.999 0.499 0.710

***

Run b
# InPPt4

A geometry-optimized InPPt4 structure (PBE, Alexandria via LeMat-Bulk).

Computed properties:
Crystal system = cubic
Density = 14458 kg/m³
Magnetization = 0.00 Bohr magnetons per cell

a b c (Å): 5.318 5.318 5.318
angles (deg): 60.00 60.00 60.00
Atoms (fractional coordinates):
In 0.000 0.000 0.000
P 0.750 0.750 0.750
Pt 0.375 0.375 0.375
Pt 0.375 0.375 0.874
Pt 0.375 0.874 0.375
Pt 0.874 0.375 0.375

***

run a is the most stable structure; the next one sits 54.5 kJ/mol of atoms above it.

***

Run a
# InP2PtS

A geometry-optimized InP2PtS structure (PBE, Alexandria via LeMat-Bulk).

Computed properties:
Crystal system = tetragonal
Density = 5621 kg/m³
Magnetization = 0.00 Bohr magnetons per cell

a b c (Å): 4.958 4.958 4.854
angles (deg): 90.00 90.00 90.00
Atoms (fractional coordinates):
In 0.000 0.000 0.000
P 0.000 0.500 0.000
P 0.500 0.000 0.000
Pt 0.500 0.500 0.500
S 0.000 0.000 0.500

***

Run b
# InP2PtS

A geometry-optimized InP2PtS structure (PBE, Alexandria via LeMat-Bulk).

Computed properties:
Crystal system = tetragonal
Density = 5964 kg/m³
Magnetization = 0.00 Bohr magnetons per cell

a b c (Å): 4.620 4.620 5.269
angles (deg): 90.00 90.00 90.00
Atoms (fractional coordinates):
In 0.000 0.000 0.000
P 0.000 0.500 0.500
P 0.500 0.000 0.500
Pt 0.500 0.500 0.500
S 0.500 0.500 0.000

***

run b is the most stable structure; the next one sits 92.7 kJ/mol of atoms above it.

***

Run a
# InPPtS2

A geometry-optimized InPPtS2 structure (PBE, Alexandria via LeMat-Bulk).

Computed properties:
Crystal system = tetragonal
Density = 5576 kg/m³
Magnetization = 0.81 Bohr magnetons per cell

a b c (Å): 4.898 4.898 5.027
angles (deg): 90.00 90.00 90.00
Atoms (fractional coordinates):
In 0.000 0.000 0.000
P 0.000 0.000 0.500
Pt 0.500 0.500 0.500
S 0.000 0.500 0.000
S 0.500 0.000 0.000

***

Run b
# InPPtS2

A geometry-optimized InPPtS2 structure (PBE, Alexandria via LeMat-Bulk).

Computed properties:
Crystal system = tetragonal
Density = 5905 kg/m³
Magnetization = 0.00 Bohr magnetons per cell

a b c (Å): 5.106 5.106 4.367
angles (deg): 90.00 90.00 90.00
Atoms (fractional coordinates):
In 0.000 0.000 0.000
P 0.500 0.500 0.000
Pt 0.500 0.500 0.500
S 0.000 0.500 0.500
S 0.500 0.000 0.500

***

run b is the most stable structure; the next one sits 90.7 kJ/mol of atoms above it.